(1)
Ba2H4Pd | GGA-PBE | relaxed

a = 8.2763 Å, b = 8.2763 Å, c = 8.2763 Å
α = 153.12°, β = 153.12°, γ = 38.39°
With the nearest neighbours (Å) after each atom.
Sites, in units of the cell vectors:
Ba  0.1354  0.1354  0.0000  9 H 2.75-2.86
Ba  0.8646  0.8646  0.0000  9 H 2.75-2.86
H  0.0000  0.5000  0.5000  2 Pd 1.92
H  0.3114  0.3114  0.0000  5 Ba 2.75-2.84, 1 Pd 2.95
H  0.5000  0.0000  0.5000  2 Pd 1.92
H  0.6886  0.6886  0.0000  5 Ba 2.75-2.84, 1 Pd 2.95
Pd  0.5000  0.5000  0.0000  4 H 1.92

Offset from the most stable computed form (eV/atom): 0.099

---

(2)
BaHPd2 | GGA-PBE | relaxed

a = 7.8603 Å, b = 7.8603 Å, c = 7.8603 Å
α = 24.47°, β = 24.47°, γ = 24.47°
With the nearest neighbours (Å) after each atom.
Sites, in units of the cell vectors:
Ba  0.0000  0.0000  0.0000  2 Pd 2.81
H  0.5000  0.5000  0.5000  6 Pd 2.17
Pd  0.1229  0.1229  0.1229  3 H 2.17
Pd  0.8771  0.8771  0.8771  3 H 2.17

Offset from the most stable computed form (eV/atom): 0.779

---

(3)
Ba4HPd | GGA-PBE | relaxed

a = 7.6134 Å, b = 7.6134 Å, c = 9.3917 Å
α = 90.00°, β = 90.00°, γ = 91.63°
With the nearest neighbours (Å) after each atom.
Sites, in units of the cell vectors:
Ba  0.2012  0.7988  0.5152  1 H 2.71
Ba  0.2012  0.7988  0.9848  1 H 2.71
Ba  0.2880  0.3097  0.7500  1 H 2.64
Ba  0.3097  0.2880  0.2500  1 H 2.64
Ba  0.6903  0.7120  0.7500  1 H 2.64
Ba  0.7120  0.6903  0.2500  1 H 2.64
Ba  0.7988  0.2012  0.0152  1 H 2.71
Ba  0.7988  0.2012  0.4848  1 H 2.71
H  0.3463  0.6537  0.7500  4 Ba 2.64-2.71
H  0.6537  0.3463  0.2500  4 Ba 2.64-2.71
Pd  0.0110  0.9890  0.2500  6 Ba 3.17-3.24
Pd  0.9890  0.0110  0.7500  6 Ba 3.17-3.24

Offset from the most stable computed form (eV/atom): 0.000

---

(4)
BaH3Pd3 | GGA-PBE | relaxed

a = 5.7344 Å, b = 5.7344 Å, c = 5.7344 Å
α = 90.00°, β = 90.00°, γ = 90.00°
With the nearest neighbours (Å) after each atom.
Sites, in units of the cell vectors:
Ba  0.0000  0.0000  0.0000  12 H 3.21, 12 Pd 3.21
Ba  0.5000  0.5000  0.5000  12 H 3.21, 12 Pd 3.21
H  0.0000  0.2500  0.5000  4 Pd 2.03
H  0.0000  0.7500  0.5000  4 Pd 2.03
H  0.2500  0.5000  0.0000  4 Pd 2.03
H  0.5000  0.0000  0.2500  4 Pd 2.03
H  0.5000  0.0000  0.7500  4 Pd 2.03
H  0.7500  0.5000  0.0000  4 Pd 2.03
Pd  0.0000  0.5000  0.2500  4 H 2.03
Pd  0.0000  0.5000  0.7500  4 H 2.03
Pd  0.2500  0.0000  0.5000  4 H 2.03
Pd  0.5000  0.2500  0.0000  4 H 2.03
Pd  0.5000  0.7500  0.0000  4 H 2.03
Pd  0.7500  0.0000  0.5000  4 H 2.03

Total energy (Ry per atom): -0.308

---

| no. | mass density (g cm⁻³) |
| --- | --- |
| 1 | 5.53 |
| 2 | 7.96 |
| 3 | 4.01 |
| 4 | 8.09 |